Entry 1:
Material: Ge2IN
Method: DFT, PBE
State: optimized geometry

Space group ... I-42d (122)
Distance to the lowest polymorph of the same formula ... 0 meV/atom
E_form (uncorrected) ... 41.8 kJ/mol of atoms
Total energy ... -34.8 eV per cell

Cell lengths 6.1155, 6.1155, 6.1155 Å; angles 110.49, 110.49, 107.44 degrees
Closest atoms and distances in Å follow each position.
Fractional positions:
1 Ge 0.3750 0.0037 0.1287  2 N 2.14
2 Ge 0.7537 0.6250 0.6287  2 N 2.14
3 Ge 0.8750 0.2463 0.8713  2 N 2.14
4 Ge 0.9963 0.1250 0.3713  2 N 2.14
5 I 0.2500 0.7500 0.5000  8 Ge 3.29-3.33, 2 N 3.62
6 I 0.5000 0.5000 0.0000  8 Ge 3.29-3.33, 2 N 3.62
7 N 0.0000 0.0000 0.0000  4 Ge 2.14
8 N 0.7500 0.2500 0.5000  4 Ge 2.14

Entry 2:
Material: GaIr2C
Method: DFT, PBE
State: optimized geometry

Space group ... P1 (1)
Distance to the lowest polymorph of the same formula ... 125 meV/atom
Total energy ... -58.5 eV per cell

Cell lengths 4.3568, 4.7823, 5.7373 Å; angles 72.74, 89.86, 72.92 degrees
Closest atoms and distances in Å follow each position.
Fractional positions:
1 Ga 0.0000 0.0000 0.0000  7 Ir 2.49-2.70, 1 Ga 2.75
2 Ga 0.3759 0.5174 0.8590  7 Ir 2.55-2.66, 1 Ga 2.75
3 Ir 0.4804 0.0456 0.2434  2 C 2.05-2.17
4 Ir 0.4869 0.0338 0.7194  2 C 2.07-2.23
5 Ir 0.8860 0.4983 0.1244  1 C 2.08
6 Ir 0.8904 0.4966 0.6096  2 C 2.03-2.10
7 C 0.0664 0.1446 0.4504  1 C 1.46
8 C 0.8559 0.9494 0.4982  1 C 1.46

Entry 3:
Material: Cd2TeP
Method: DFT, PBE
State: optimized geometry

Space group ... I-42d (122)
Distance to the lowest polymorph of the same formula ... 3 meV/atom
E_form (uncorrected) ... -6.1 kJ/mol of atoms
Total energy ... -21.3 eV per cell

Cell lengths 7.5707, 7.5707, 7.5707 Å; angles 130.74, 130.74, 72.22 degrees
Closest atoms and distances in Å follow each position.
Fractional positions:
1 Cd 0.0785 0.6250 0.9535  2 P 2.54
2 Cd 0.3750 0.3285 0.4535  2 P 2.54
3 Cd 0.6715 0.1250 0.0465  2 P 2.54
4 Cd 0.8750 0.9215 0.5465  2 P 2.54
5 Te 0.2500 0.7500 0.5000  4 Cd 2.89
6 Te 0.5000 0.5000 0.0000  4 Cd 2.89
7 P 0.0000 0.0000 0.0000  4 Cd 2.54
8 P 0.7500 0.2500 0.5000  4 Cd 2.54

Entry 4:
Material: VMoRh3
Method: DFT, PBE
State: optimized geometry

Space group ... P-1 (2)
Distance to the lowest polymorph of the same formula ... 0 meV/atom
Total energy ... -86.5 eV per cell

Cell lengths 4.6561, 4.6625, 7.3181 Å; angles 71.48, 84.42, 72.12 degrees
Closest atoms and distances in Å follow each position.
Fractional positions:
1 V 0.2497 0.1435 0.2129  9 Rh 2.64-2.76, 3 Mo 2.74-2.90
2 V 0.7503 0.8565 0.7871  9 Rh 2.64-2.76, 3 Mo 2.74-2.90
3 Mo 0.2504 0.3529 0.7947  9 Rh 2.66-2.79, 3 V 2.74-2.90
4 Mo 0.7496 0.6471 0.2053  9 Rh 2.66-2.79, 3 V 2.74-2.90
5 Rh 0.2502 0.5536 0.3926  2 V 2.64, 3 Mo 2.66-2.79, 7 Rh 2.73-2.77
6 Rh 0.2502 0.7500 0.9998  4 Rh 2.72-2.74, 4 Mo 2.73, 4 V 2.76
7 Rh 0.2499 0.9458 0.6083  3 V 2.64-2.74, 2 Mo 2.67, 7 Rh 2.72-2.77
8 Rh 0.7501 0.0542 0.3917  3 V 2.64-2.74, 2 Mo 2.67, 7 Rh 2.72-2.77
9 Rh 0.7498 0.2500 0.0002  4 Rh 2.72-2.74, 4 Mo 2.73, 4 V 2.76
10 Rh 0.7498 0.4464 0.6074  2 V 2.64, 3 Mo 2.66-2.79, 7 Rh 2.73-2.77